(1)
# ScTc2Cl, single point on PBEsol structure, DFT meta-GGA SCAN
data_ScTc2Cl
_space_group_name_H-M_alt 'P 4/m m m'
_space_group_IT_number 123
_space_group_name_Hall '-P 4 2'
_cell_length_a 4.388
_cell_length_b 4.388
_cell_length_c 3.079
_cell_angle_alpha 90.00
_cell_angle_beta 90.00
_cell_angle_gamma 90.00
loop_
_atom_site_label
_atom_site_fract_x
_atom_site_fract_y
_atom_site_fract_z
_atom_site_occupancy
Sc1 0.000 0.000 0.000 1
Tc1 0.000 0.500 0.500 1
Cl1 0.500 0.500 0.000 1
# M_tot = 0.000 μB/f.u.
# ΔE_f (raw) = 0.60 eV/atom
# V = 59.30 Å³ per cell
# energy above the most stable polymorph in this dataset = 416.8 meV per atom
# E_tot = -89.92 eV/cell
# DOS at the Fermi energy = 0.966 states/eV/atom



(2)
# Sc2TcCl, single point on PBEsol structure, DFT meta-GGA SCAN
data_Sc2TcCl
_space_group_name_H-M_alt 'C 1 2/m 1'
_space_group_IT_number 12
_space_group_name_Hall '-C 2y'
_cell_length_a 7.056
_cell_length_b 6.875
_cell_length_c 3.041
_cell_angle_alpha 90.00
_cell_angle_beta 105.63
_cell_angle_gamma 90.00
loop_
_atom_site_label
_atom_site_fract_x
_atom_site_fract_y
_atom_site_fract_z
_atom_site_occupancy
Sc1 0.250 0.250 0.000 1
Tc1 0.000 0.000 0.500 1
Cl1 0.000 0.500 0.500 1
# M_tot = 0.000 μB/f.u.
# ΔE_f (raw) = -0.48 eV/atom
# V = 142.05 Å³ per cell
# energy above the most stable polymorph in this dataset = 450.6 meV per atom
# E_tot = -146.83 eV/cell
# DOS at the Fermi energy = 0.405 states/eV/atom



(3)
# Sc2TcCl, single point on PBEsol structure, DFT meta-GGA SCAN
data_Sc2TcCl
_space_group_name_H-M_alt 'P 1 2/m 1'
_space_group_IT_number 10
_space_group_name_Hall '-P 2y'
_cell_length_a 3.292
_cell_length_b 3.195
_cell_length_c 7.372
_cell_angle_alpha 90.00
_cell_angle_beta 91.64
_cell_angle_gamma 90.00
loop_
_atom_site_label
_atom_site_fract_x
_atom_site_fract_y
_atom_site_fract_z
_atom_site_occupancy
Sc1 0.025 0.000 0.295 1
Tc1 0.500 0.500 0.500 1
Cl1 0.000 0.500 0.000 1
# M_tot = 0.000 μB/f.u.
# ΔE_f (raw) = -0.93 eV/atom
# V = 77.51 Å³ per cell
# energy above the most stable polymorph in this dataset = 0.0 meV per atom
# E_tot = -75.22 eV/cell
# DOS at the Fermi energy = 0.359 states/eV/atom